(1)
First-principles (GGA-PBE) data for a relaxed Nd2ThCr2C4 crystal, as listed in Alexandria.

POSCAR file:
```
Nd2ThCr2C4
1.0
6.8270 -1.7758 0.0000
6.8270 1.7758 0.0000
-2.0501 0.0000 5.8115
Nd Th Cr C
2 1 2 4
Cartesian
1.7854 0.0000 0.2765
9.8185 0.0000 5.5350
-1.0250 0.0000 2.9057
3.2753 0.0000 2.9208
8.3287 0.0000 2.8907
1.5513 0.0000 3.8716
4.5612 0.0000 4.2640
7.0428 0.0000 1.5475
10.0527 0.0000 1.9399
```

As for the total magnetization: 0.000 μB per formula unit. For the formation energy from the elements, the calculation gives -0.035 eV/atom. As for the space-group type: C2/m, No. 12.

=====

(2)
First-principles (GGA-PBE) data for a relaxed NdTh2CrC4 crystal, as listed in Alexandria.

POSCAR file:
```
NdTh2CrC4
1.0
1.8193 -6.0939 0.0000
1.8193 6.0939 0.0000
0.0000 0.0000 12.5508
Nd Th Cr C
2 4 2 8
Cartesian
1.8193 4.8431 9.4131
1.8193 -4.8431 3.1377
1.8193 1.6173 6.8420
1.8193 1.6173 11.9842
1.8193 -1.6173 0.5666
1.8193 -1.6173 5.7088
1.8193 3.9639 3.1377
1.8193 -3.9639 9.4131
0.0000 0.0000 0.0000
0.0000 0.0000 6.2754
1.8193 2.8383 1.7174
1.8193 2.8383 4.5581
1.8193 1.2594 9.4131
1.8193 -1.2594 3.1377
1.8193 -2.8383 7.9928
1.8193 -2.8383 10.8335
```

As for the total magnetization: 0.226 μB per formula unit. For the formation energy from the elements, the calculation gives -0.053 eV/atom. As for the space-group type: Cmcm, No. 63.

=====

(3)
First-principles (GGA-PBE) data for a relaxed Nd2TmCr2C4 crystal, as listed in Alexandria.

POSCAR file:
```
Nd2TmCr2C4
1.0
6.6018 -1.7338 0.0000
6.6018 1.7338 0.0000
-1.9625 0.0000 5.7498
Nd Tm Cr C
2 1 2 4
Cartesian
1.6779 0.0000 0.2267
9.5632 0.0000 5.5231
-0.9812 0.0000 2.8749
3.2382 0.0000 2.8782
8.0029 0.0000 2.8715
1.4943 0.0000 3.8538
4.5150 0.0000 4.1830
6.7261 0.0000 1.5667
9.7468 0.0000 1.8960
```

As for the total magnetization: 0.000 μB per formula unit. For the formation energy from the elements, the calculation gives -0.123 eV/atom. As for the space-group type: C2/m, No. 12.

=====

(4)
First-principles (GGA-PBE) data for a relaxed NdTm2Cr2C4 crystal, as listed in Alexandria.

POSCAR file:
```
NdTm2Cr2C4
1.0
6.6971 -1.6421 0.0000
6.6971 1.6421 0.0000
-2.3055 0.0000 5.3952
Nd Tm Cr C
1 2 2 4
Cartesian
0.0000 0.0000 0.0000
0.7337 0.0000 2.9150
10.3549 0.0000 2.4802
4.2863 0.0000 0.1410
6.8023 0.0000 5.2543
2.5045 0.0000 1.0924
5.5656 0.0000 1.9824
5.5230 0.0000 3.4128
8.5841 0.0000 4.3028
```

As for the total magnetization: 0.001 μB per formula unit. For the formation energy from the elements, the calculation gives -0.118 eV/atom. As for the space-group type: C2/m, No. 12.

=====

(5)
First-principles (GGA-PBE) data for a relaxed Nd2UCr2C4 crystal, as listed in Alexandria.

POSCAR file:
```
Nd2UCr2C4
1.0
6.5767 -1.7294 0.0000
6.5767 1.7294 0.0000
-1.9346 0.0000 5.7761
Nd U Cr C
2 1 2 4
Cartesian
1.6959 0.0000 0.2409
9.5228 0.0000 5.5352
-0.9673 0.0000 2.8881
3.1972 0.0000 2.8987
8.0216 0.0000 2.8774
1.5161 0.0000 3.9325
4.6458 0.0000 4.1824
6.5729 0.0000 1.5937
9.7027 0.0000 1.8436
```

As for the total magnetization: 1.062 μB per formula unit. For the formation energy from the elements, the calculation gives -0.038 eV/atom. As for the space-group type: C2/m, No. 12.

=====

(6)
First-principles (GGA-PBE) data for a relaxed NdY2Cr2C4 crystal, as listed in Alexandria.

POSCAR file:
```
NdY2Cr2C4
1.0
8.0472 -1.7401 0.0000
8.0472 1.7401 0.0000
-0.6078 0.0000 5.3363
Nd Y Cr C
1 2 2 4
Cartesian
0.0000 0.0000 0.0000
2.2012 0.0000 3.0912
13.2854 0.0000 2.2450
4.4059 0.0000 5.0624
11.0807 0.0000 0.2739
3.5417 0.0000 1.0591
6.4012 0.0000 0.8261
9.0854 0.0000 4.5102
11.9449 0.0000 4.2771
```

As for the total magnetization: 0.000 μB per formula unit. For the formation energy from the elements, the calculation gives -0.074 eV/atom. As for the space-group type: C2/m, No. 12.

=====

(7)
First-principles (GGA-PBE) data for a relaxed Cr4NiC crystal, as listed in Alexandria.

POSCAR file:
```
Cr4NiC
1.0
6.4949 0.0000 0.0000
0.0000 4.2025 0.0000
-2.1099 0.0000 5.1893
Cr Ni C
8 2 2
Cartesian
0.2104 0.9615 1.6891
-0.8446 1.1397 4.2837
1.4102 2.9258 0.4904
0.3553 3.3779 3.0850
4.0297 0.8246 2.1043
2.9747 1.2766 4.6989
5.2295 3.0628 0.9056
4.1745 3.2409 3.5002
3.2474 0.0000 0.0000
2.1925 2.1012 2.5946
0.0000 0.0000 0.0000
-1.0550 2.1012 2.5946
```

As for the total magnetization: 0.001 μB per formula unit. For the formation energy from the elements, the calculation gives 0.414 eV/atom. As for the space-group type: P2_1/c, No. 14.

=====

(8)
First-principles (GGA-PBE) data for a relaxed CrNi3C crystal, as listed in Alexandria.

POSCAR file:
```
CrNi3C
1.0
3.7903 0.0000 0.0000
0.0000 3.7903 0.0000
0.0000 0.0000 3.7903
Cr Ni C
1 3 1
Cartesian
0.0000 0.0000 0.0000
0.0000 1.8951 1.8951
1.8951 0.0000 1.8951
1.8951 1.8951 0.0000
1.8951 1.8951 1.8951
```

As for the total magnetization: 4.101 μB per formula unit. For the formation energy from the elements, the calculation gives 0.211 eV/atom. As for the space-group type: Pm-3m, No. 221. The calculation puts the offset from the most stable computed form at 0.0 meV/atom.

=====

total magnetization of number 2 (NdTh2CrC4)?
0.226 μB per formula unit